Entry 1:
# MnMo2Os

A relaxed MnMo2Os crystal (PBE, Alexandria).

Summary:
Formation energy from the elements = 0.774 eV/atom
E above lowest polymorph = 0.683 eV/atom
Density of states at the Fermi level = 8.6 states/eV per cell

Cell and atoms, written as POSCAR:
```
MnMo2Os
1.0
-3.6425 0.3326 -0.3120
-0.3389 -3.6547 0.0602
-2.7773 -1.4330 9.2999
Mn Os Mo
2 2 4
direct
0.2500 0.7500 0.5000
0.5000 0.5000 0.0000
0.7500 0.2500 0.5000
0.0000 0.0000 0.0000
0.1343 0.6250 0.2500
0.3750 0.3843 0.7500
0.8750 0.8657 0.7500
0.6157 0.1250 0.2500
```

Entry 2:
# Th8Co3Te4Ir

A relaxed Th8Co3Te4Ir crystal (PBE, Alexandria).

Summary:
Density of states at the Fermi level = 9.1 states/eV per cell
Formation energy from raw total energies = -844.1 meV/atom

Cell and atoms, written as POSCAR:
```
Th8Co3Te4Ir
1.0
8.2348 0.0000 0.0000
0.0000 9.0063 0.5241
-4.1174 -4.1114 5.8355
Co Te Th Ir
3 4 8 1
direct
0.0000 0.5000 0.5000
0.5000 0.5000 0.5000
0.5000 0.5000 0.0000
0.5000 0.0000 0.5000
0.5000 0.0000 0.0000
0.0000 0.0000 0.5000
0.0000 0.0000 0.0000
0.2689 0.3069 0.5377
0.2358 0.6968 0.4716
0.7311 0.6931 0.4623
0.2359 0.6969 0.9614
0.2745 0.3031 0.0386
0.7642 0.3032 0.5284
0.7255 0.6969 0.9614
0.7641 0.3031 0.0386
0.0000 0.5000 0.0000
```

no.,E_tot (eV per formula unit)
1,-38.97
2,-115.61